Arrangement A

## Pm2Nd3Ho5 (PBE)

Data for a relaxed structure of Pm2Nd3Ho5.

Summary:
- N(E_F): 1.65 states/eV per atom
- M_tot: 0.00 Bohr magnetons per cell

Lattice parameters (Å, degrees): 10.6825 16.3174 9.3506 90.00 124.83 90.00
Space group C2/c (No. 15)
Asymmetric unit:
Pm (0.1457, 0.1300, 0.0449) x8
Nd (0.0000, 0.0182, 0.2500) x4
Nd (0.1510, 0.3743, 0.5482) x8
Ho (0.0000, 0.2251, 0.2500) x4
Ho (0.0000, 0.2780, 0.7500) x4
Ho (0.0000, 0.4769, 0.7500) x4
Ho (0.2419, 0.3658, 0.2371) x8

Arrangement B

## Pm2Nd3Ho5 (PBE)

Data for a relaxed structure of Pm2Nd3Ho5.

Summary:
- N(E_F): 1.53 states/eV per atom
- M_tot: 0.00 Bohr magnetons per cell

Lattice parameters (Å, degrees): 9.4618 21.9565 6.8456 90.00 90.00 90.00
Space group Ibam (No. 72)
Asymmetric unit:
Pm (0.1002, 0.1270, 0.0000) x8
Nd (0.0000, 0.0000, 0.2500) x4
Nd (0.2477, 0.3676, 0.0000) x8
Ho (0.0000, 0.2517, 0.2500) x8
Ho (0.0000, 0.5000, 0.2500) x4
Ho (0.0881, 0.3754, 0.5000) x8

Which is most stable, and by how much? arrangement A, by 19.6 kJ/mol of atoms.

Arrangement A

## Pm4Nd5Ho (PBE)

Data for a relaxed structure of Pm4Nd5Ho.

Summary:
- N(E_F): 1.48 states/eV per atom
- M_tot: 0.00 Bohr magnetons per cell

Lattice parameters (Å, degrees): 3.6537 9.6627 10.3370 74.45 89.90 79.11
Space group P-1 (No. 2)
Asymmetric unit:
Pm (0.0992, 0.3013, 0.2965) x2
Pm (0.3007, 0.8992, 0.9000) x2
Nd (0.0988, 0.3017, 0.8027) x2
Nd (0.2998, 0.8999, 0.4002) x2
Nd (0.5000, 0.5000, 0.5000) x1
Ho (0.5000, 0.5000, 0.0000) x1

Arrangement B

## Pm4Nd5Ho (PBE)

Data for a relaxed structure of Pm4Nd5Ho.

Summary:
- N(E_F): 1.49 states/eV per atom
- M_tot: 0.00 Bohr magnetons per cell

Lattice parameters (Å, degrees): 10.5940 10.5940 6.2502 90.00 90.00 90.00
Space group I4mm (No. 107)
Asymmetric unit:
Pm (0.0000, 0.3248, 0.0000) x8
Nd (0.0000, 0.0000, 0.7439) x2
Nd (0.1889, 0.1889, 0.4688) x8
Ho (0.0000, 0.0000, 0.2087) x2

Which is most stable, and by how much? arrangement A, by 20.8 kJ/mol of atoms.

Arrangement A

## Pm4Nd3Ho (PBE)

Data for a relaxed structure of Pm4Nd3Ho.

Summary:
- N(E_F): 1.68 states/eV per atom
- M_tot: 0.00 Bohr magnetons per cell

Lattice parameters (Å, degrees): 23.7735 3.5184 6.9282 90.00 106.91 90.00
Space group C2/m (No. 12)
Asymmetric unit:
Pm (0.1239, 0.0000, 0.3641) x4
Pm (0.2416, 0.5000, 0.2436) x4
Nd (0.0000, 0.0000, 0.5000) x2
Nd (0.1242, 0.0000, 0.8845) x4
Ho (0.0000, 0.5000, 0.0000) x2

Arrangement B

## Pm4Nd3Ho (PBE)

Data for a relaxed structure of Pm4Nd3Ho.

Summary:
- N(E_F): 1.76 states/eV per atom
- M_tot: 0.00 Bohr magnetons per cell

Lattice parameters (Å, degrees): 11.7786 7.3748 6.3750 90.00 90.00 90.00
Space group Pmn2_1 (No. 31)
Asymmetric unit:
Pm (0.0000, 0.1248, 0.0000) x2
Pm (0.0000, 0.8754, 0.4970) x2
Pm (0.2477, 0.8745, 0.8310) x4
Nd (0.0000, 0.3744, 0.4983) x2
Nd (0.2499, 0.3755, 0.8309) x4
Ho (0.0000, 0.6252, 0.9972) x2

Which is most stable, and by how much? arrangement B, by 11.6 kJ/mol of atoms.

Arrangement A

## PmNd2Ho5 (PBE)

Data for a relaxed structure of PmNd2Ho5.

Summary:
- N(E_F): 1.49 states/eV per atom
- M_tot: 0.01 Bohr magnetons per cell

Lattice parameters (Å, degrees): 16.3102 9.9212 6.5155 90.00 98.06 90.00
Space group C2/c (No. 15)
Asymmetric unit:
Pm (0.2500, 0.2500, 0.0000) x4
Nd (0.0776, 0.2466, 0.1146) x8
Ho (0.0000, 0.4419, 0.7500) x4
Ho (0.0992, 0.0886, 0.6440) x8
Ho (0.1969, 0.4106, 0.5235) x8

Arrangement B

## PmNd2Ho5 (PBE)

Data for a relaxed structure of PmNd2Ho5.

Summary:
- N(E_F): 1.34 states/eV per atom
- M_tot: 0.00 Bohr magnetons per cell

Lattice parameters (Å, degrees): 7.1567 14.3186 5.0589 90.00 90.00 90.00
Space group Pbam (No. 55)
Asymmetric unit:
Pm (0.0000, 0.0000, 0.0000) x2
Nd (0.2478, 0.3743, 0.5000) x4
Ho (0.0000, 0.5000, 0.0000) x2
Ho (0.0022, 0.7492, 0.0000) x4
Ho (0.2483, 0.1254, 0.5000) x4

Which is most stable, and by how much? arrangement B, by 14.7 kJ/mol of atoms.

Arrangement A

## Pm5Nd12Ho2 (PBE)

Data for a relaxed structure of Pm5Nd12Ho2.

Summary:
- N(E_F): 1.67 states/eV per atom
- M_tot: 0.00 Bohr magnetons per cell

Lattice parameters (Å, degrees): 18.7751 7.2272 10.5636 90.00 111.57 90.00
Space group C2/m (No. 12)
Asymmetric unit:
Pm (0.0000, 0.0000, 0.0000) x2
Pm (0.1735, 0.5000, 0.7079) x4
Pm (0.1846, 0.0000, 0.6845) x4
Nd (0.0019, 0.5000, 0.8211) x4
Nd (0.0241, 0.0000, 0.7427) x4
Nd (0.1603, 0.2476, 0.3680) x8
Nd (0.1667, 0.2513, 0.0229) x8
Ho (0.0000, 0.2785, 0.5000) x4

Arrangement B

## Pm5Nd12Ho2 (PBE)

Data for a relaxed structure of Pm5Nd12Ho2.

Summary:
- N(E_F): 1.49 states/eV per atom
- M_tot: 0.00 Bohr magnetons per cell

Lattice parameters (Å, degrees): 22.5732 7.1941 8.8382 90.00 110.34 90.00
Space group C2/m (No. 12)
Asymmetric unit:
Pm (0.0000, 0.0000, 0.0000) x2
Pm (0.1493, 0.5000, 0.5959) x4
Pm (0.2486, 0.0000, 0.9903) x4
Nd (0.0483, 0.5000, 0.1960) x4
Nd (0.1057, 0.2563, 0.8838) x8
Nd (0.1419, 0.0000, 0.5584) x4
Nd (0.2009, 0.2527, 0.2936) x8
Ho (0.0000, 0.2576, 0.5000) x4

Which is most stable, and by how much? arrangement B, by 3.4 kJ/mol of atoms.

Arrangement A

## Pm2Nd8Ho (PBE)

Data for a relaxed structure of Pm2Nd8Ho.

Summary:
- N(E_F): 1.64 states/eV per atom
- M_tot: 0.00 Bohr magnetons per cell

Lattice parameters (Å, degrees): 11.3481 7.5109 9.4505 90.00 106.69 90.00
Space group C2/m (No. 12)
Asymmetric unit:
Pm (0.1413, 0.0000, 0.1313) x4
Nd (0.0669, 0.2832, 0.7715) x8
Nd (0.1797, 0.5000, 0.1269) x4
Nd (0.1919, 0.5000, 0.4974) x4
Ho (0.0000, 0.0000, 0.5000) x2

Arrangement B

## Pm2Nd8Ho (PBE)

Data for a relaxed structure of Pm2Nd8Ho.

Summary:
- N(E_F): 1.65 states/eV per atom
- M_tot: 0.00 Bohr magnetons per cell

Lattice parameters (Å, degrees): 16.8705 6.8701 6.8103 90.00 100.84 90.00
Space group C2/m (No. 12)
Asymmetric unit:
Pm (0.1955, 0.0000, 0.3061) x4
Nd (0.0865, 0.2627, 0.9038) x8
Nd (0.0920, 0.5000, 0.4145) x4
Nd (0.2437, 0.0000, 0.8158) x4
Ho (0.0000, 0.0000, 0.5000) x2

Which is most stable, and by how much? arrangement A, by 3.4 kJ/mol of atoms.

Arrangement A

## PmNd5Ho4 (PBE)

Data for a relaxed structure of PmNd5Ho4.

Summary:
- N(E_F): 1.57 states/eV per atom
- M_tot: 0.00 Bohr magnetons per cell

Lattice parameters (Å, degrees): 18.2788 3.5962 10.5688 90.00 96.30 90.00
Space group C2/m (No. 12)
Asymmetric unit:
Pm (0.0000, 0.0000, 0.0000) x2
Nd (0.0000, 0.0000, 0.5000) x2
Nd (0.1420, 0.5000, 0.2305) x4
Nd (0.1894, 0.5000, 0.5976) x4
Ho (0.0461, 0.5000, 0.7615) x4
Ho (0.1829, 0.0000, 0.9121) x4

Arrangement B

## PmNd5Ho4 (PBE)

Data for a relaxed structure of PmNd5Ho4.

Summary:
- N(E_F): 1.28 states/eV per atom
- M_tot: 0.00 Bohr magnetons per cell

Lattice parameters (Å, degrees): 18.7457 3.6205 10.2185 90.00 106.23 90.00
Space group C2/m (No. 12)
Asymmetric unit:
Pm (0.0000, 0.0000, 0.0000) x2
Nd (0.0000, 0.0000, 0.5000) x2
Nd (0.1007, 0.5000, 0.8035) x4
Nd (0.2003, 0.0000, 0.6005) x4
Ho (0.1011, 0.5000, 0.2975) x4
Ho (0.1998, 0.0000, 0.0998) x4

Which is most stable, and by how much? arrangement B, by 12.9 kJ/mol of atoms.

Arrangement A

## Pm4Nd3Ho5 (PBE)

Data for a relaxed structure of Pm4Nd3Ho5.

Summary:
- N(E_F): 1.59 states/eV per atom
- M_tot: 0.11 Bohr magnetons per cell

Lattice parameters (Å, degrees): 16.1414 5.9842 9.3765 90.00 116.16 90.00
Space group C2/m (No. 12)
Asymmetric unit:
Pm (0.0838, 0.0000, 0.4447) x4
Pm (0.2098, 0.0000, 0.8807) x4
Nd (0.0000, 0.5000, 0.0000) x2
Nd (0.2099, 0.0000, 0.2328) x4
Ho (0.0000, 0.0000, 0.0000) x2
Ho (0.0716, 0.5000, 0.6973) x4
Ho (0.1718, 0.5000, 0.3870) x4

Arrangement B

## Pm4Nd3Ho5 (PBE)

Data for a relaxed structure of Pm4Nd3Ho5.

Summary:
- N(E_F): 1.32 states/eV per atom
- M_tot: 0.00 Bohr magnetons per cell

Lattice parameters (Å, degrees): 6.2418 7.2049 8.8325 90.02 90.09 90.11
Space group P-1 (No. 2)
Asymmetric unit:
Pm (0.1683, 0.9997, 0.1696) x2
Pm (0.3313, 0.2503, 0.8323) x2
Nd (0.3317, 0.7492, 0.8323) x2
Nd (0.5000, 0.5000, 0.5000) x1
Ho (0.0005, 0.2507, 0.5002) x2
Ho (0.1654, 0.5001, 0.1693) x2
Ho (0.5000, 0.0000, 0.5000) x1

Which is most stable, and by how much? arrangement B, by 19.7 kJ/mol of atoms.

Arrangement A

## Pm4NdHo5 (PBE)

Data for a relaxed structure of Pm4NdHo5.

Summary:
- N(E_F): 1.40 states/eV per atom
- M_tot: 0.00 Bohr magnetons per cell

Lattice parameters (Å, degrees): 10.3293 10.3293 6.2522 90.00 90.00 90.00
Space group I4 (No. 79)
Asymmetric unit:
Pm (0.0423, 0.6541, 0.0000) x8
Nd (0.0000, 0.0000, 0.7663) x2
Ho (0.0000, 0.0000, 0.2271) x2
Ho (0.1532, 0.7747, 0.4947) x8

Arrangement B

## Pm4NdHo5 (PBE)

Data for a relaxed structure of Pm4NdHo5.

Summary:
- N(E_F): 1.40 states/eV per atom
- M_tot: 0.00 Bohr magnetons per cell

Lattice parameters (Å, degrees): 3.5444 8.7926 11.2034 89.81 89.96 78.39
Space group P-1 (No. 2)
Asymmetric unit:
Pm (0.0284, 0.4390, 0.2477) x2
Pm (0.3410, 0.8109, 0.2502) x2
Nd (0.5000, 0.5000, 0.5000) x1
Ho (0.1742, 0.1537, 0.0484) x2
Ho (0.1765, 0.1504, 0.4467) x2
Ho (0.5000, 0.5000, 0.0000) x1

Which is most stable, and by how much? arrangement B, by 8.8 kJ/mol of atoms.

Arrangement A

## Pm3NdHo2 (PBE)

Data for a relaxed structure of Pm3NdHo2.

Summary:
- N(E_F): 1.94 states/eV per atom
- M_tot: 0.00 Bohr magnetons per cell

Lattice parameters (Å, degrees): 3.4998 5.9630 19.6807 90.00 90.00 90.00
Space group Immm (No. 71)
Asymmetric unit:
Pm (0.0000, 0.0000, 0.0000) x2
Pm (0.0000, 0.5000, 0.1919) x4
Nd (0.0000, 0.5000, 0.0000) x2
Ho (0.0000, 0.5000, 0.3622) x4

Arrangement B

## Pm3NdHo2 (PBE)

Data for a relaxed structure of Pm3NdHo2.

Summary:
- N(E_F): 1.52 states/eV per atom
- M_tot: 0.00 Bohr magnetons per cell

Lattice parameters (Å, degrees): 7.3010 17.5207 6.4412 90.00 90.00 90.00
Space group Imma (No. 74)
Asymmetric unit:
Pm (0.0000, 0.0677, 0.2495) x8
Pm (0.0000, 0.2500, 0.9984) x4
Nd (0.0000, 0.2500, 0.4964) x4
Ho (0.2500, 0.1034, 0.7500) x8

Which is most stable, and by how much? arrangement B, by 18.6 kJ/mol of atoms.